Computed, not measured: a geometry-optimized Ce2Cu4Ge3Au structure at the PBE level of DFT.

Cell and atoms, written as POSCAR:
```
Ce2Cu4Ge3Au
1.0
-2.4397 -2.6095 -2.2304
-1.8161 -1.3408 3.5553
-7.0294 7.2910 -0.8411
Ce Cu Ge Au
2 4 3 1
direct
0.5000 0.0000 0.2419
0.0000 0.5000 0.7581
0.5000 0.5000 0.0000
0.0000 0.0000 0.0000
0.5000 0.0000 0.6405
0.0000 0.5000 0.3595
0.0000 0.0000 0.5000
0.5000 0.0000 0.8712
0.0000 0.5000 0.1288
0.5000 0.5000 0.5000
```

E_form   -10.200 kcal/mol of atoms
Crystal system   tetragonal
Spin magnetization   0.1100 μB per atom
Uncorrected energy   -4.980 eV/atom